Computed, not measured: a relaxed structure of GdBPd at the PBE level of DFT.

abc: 5.9667 5.9667 5.9667
angles: 90.00 90.00 90.00
With the nearest neighbours (Å) after each atom.
Space group F-43m (No. 216)
Symmetry-distinct sites (fractional):
Gd 0.0000 0.0000 0.0000 x4  4 B 2.58
B 0.2500 0.2500 0.2500 x4  4 Gd 2.58, 4 Pd 2.58
Pd 0.0000 0.0000 0.5000 x4  4 B 2.58

Output
**Total magnetic moment**: 1.11 Bohr magnetons per cell
**Polymorph energy (0 for the lowest one)**: 0.0 meV/atom


Computed, not measured: a relaxed structure of GdBPd3 at the PBE level of DFT.

abc: 4.0325 4.0325 4.9438
angles: 90.00 90.00 90.00
With the nearest neighbours (Å) after each atom.
Space group P4mm (No. 99)
Symmetry-distinct sites (fractional):
Gd 0.0000 0.0000 0.0000 x1  12 Pd 2.90-3.23
B 0.5000 0.5000 0.6825 x1  5 Pd 2.10-2.19
Pd 0.0000 0.5000 0.5095 x2  2 B 2.19
Pd 0.5000 0.5000 0.1076 x1  1 B 2.10

Output
**Total magnetic moment**: 0.00 Bohr magnetons per cell


Computed, not measured: a relaxed structure of GdB4Pd at the PBE level of DFT.

abc: 3.1600 5.3401 7.8020
angles: 90.00 90.00 90.00
With the nearest neighbours (Å) after each atom.
Space group Immm (No. 71)
Symmetry-distinct sites (fractional):
Gd 0.0000 0.0000 0.0000 x2  12 B 2.64-2.65
B 0.0000 0.3245 0.2566 x8  3 B 1.77-1.87
Pd 0.0000 0.0000 0.5000 x2  12 B 2.57-2.72

Output
**Total magnetic moment**: 0.00 Bohr magnetons per cell
**Polymorph energy (0 for the lowest one)**: 0.0 meV/atom


Computed, not measured: a relaxed structure of PmGdB at the PBE level of DFT.

abc: 6.5111 6.5111 6.5111
angles: 90.00 90.00 90.00
With the nearest neighbours (Å) after each atom.
Space group F-43m (No. 216)
Symmetry-distinct sites (fractional):
Pm 0.0000 0.0000 0.0000 x4  4 B 2.82
Gd 0.0000 0.0000 0.5000 x4  4 B 2.82
B 0.2500 0.2500 0.7500 x4  4 Pm 2.82, 4 Gd 2.82

Output
**Total magnetic moment**: 1.21 Bohr magnetons per cell
**Polymorph energy (0 for the lowest one)**: 0.0 meV/atom


Computed, not measured: a relaxed structure of Pr4Gd4B3 at the PBE level of DFT.

abc: 3.8747 4.9532 15.5235
angles: 93.28 96.23 97.82
With the nearest neighbours (Å) after each atom.
Space group P-1 (No. 2)
Symmetry-distinct sites (fractional):
Pr 0.0273 0.2757 0.4266 x2  2 B 2.63-2.69
Pr 0.4244 0.6978 0.0765 x2  4 B 2.68-2.94
Gd 0.0426 0.7832 0.8026 x2  1 B 2.65
Gd 0.4660 0.7792 0.3335 x2  1 B 2.73
B 0.0700 0.1342 0.0335 x2  1 B 1.63
B 0.5000 0.0000 0.5000 x1  4 Pr 2.63-2.69, 2 Gd 2.73

Output
**Total magnetic moment**: 0.03 Bohr magnetons per cell


Computed, not measured: a relaxed structure of PrGdB at the PBE level of DFT.

abc: 6.5702 6.5702 6.5702
angles: 90.00 90.00 90.00
With the nearest neighbours (Å) after each atom.
Space group F-43m (No. 216)
Symmetry-distinct sites (fractional):
Pr 0.0000 0.0000 0.0000 x4  4 B 2.84
Gd 0.0000 0.0000 0.5000 x4  4 B 2.84
B 0.2500 0.2500 0.7500 x4  4 Gd 2.84, 4 Pr 2.84

Output
**Total magnetic moment**: 1.27 Bohr magnetons per cell
**Polymorph energy (0 for the lowest one)**: 0.0 meV/atom


Computed, not measured: a relaxed structure of PrGdB4 at the PBE level of DFT.

abc: 3.3237 3.3237 8.1259
angles: 90.00 90.00 120.00
With the nearest neighbours (Å) after each atom.
Space group P6/mmm (No. 191)
Symmetry-distinct sites (fractional):
Pr 0.0000 0.0000 0.0000 x1  12 B 2.86
Gd 0.0000 0.0000 0.5000 x1  12 B 2.73
B 0.3333 0.6667 0.2609 x4  3 B 1.92

Output
**Total magnetic moment**: 0.01 Bohr magnetons per cell


Computed, not measured: a relaxed structure of GdB4Pt at the PBE level of DFT.

abc: 3.1665 5.2751 7.9077
angles: 90.00 90.00 90.00
With the nearest neighbours (Å) after each atom.
Space group Immm (No. 71)
Symmetry-distinct sites (fractional):
Gd 0.0000 0.0000 0.0000 x2  12 B 2.64-2.67
B 0.0000 0.3223 0.2606 x8  3 B 1.77-1.87
Pt 0.0000 0.0000 0.5000 x2  12 B 2.54-2.76

Output
**Total magnetic moment**: 0.01 Bohr magnetons per cell
**Polymorph energy (0 for the lowest one)**: 0.0 meV/atom


Computed, not measured: a relaxed structure of Gd2B4Pt5 at the PBE level of DFT.

abc: 5.3797 9.7002 12.4061
angles: 90.00 90.00 90.00
With the nearest neighbours (Å) after each atom.
Space group Fmmm (No. 69)
Symmetry-distinct sites (fractional):
Gd 0.0000 0.0000 0.1437 x8  10 Pt 3.07-3.30, 8 B 3.08-3.37
B 0.0000 0.1529 0.3679 x16  5 Pt 2.20-2.32
Pt 0.0000 0.0000 0.5000 x4  4 B 2.21
Pt 0.2500 0.2500 0.0000 x8  4 B 2.32
Pt 0.2500 0.2500 0.2500 x8  4 B 2.20

Output
**Total magnetic moment**: 0.06 Bohr magnetons per cell


Computed, not measured: a relaxed structure of GdB2Pt3 at the PBE level of DFT.

abc: 5.4677 5.4677 3.3219
angles: 90.00 90.00 120.00
With the nearest neighbours (Å) after each atom.
Space group P6/mmm (No. 191)
Symmetry-distinct sites (fractional):
Gd 0.0000 0.0000 0.0000 x1  6 B 3.16, 12 Pt 3.20, 2 Gd 3.32
B 0.3333 0.6667 0.0000 x2  6 Pt 2.29
Pt 0.0000 0.5000 0.5000 x3  4 B 2.29

Output
**Total magnetic moment**: 0.28 Bohr magnetons per cell


Computed, not measured: a relaxed structure of GdB4Pt at the PBE level of DFT.

abc: 3.2621 3.2621 6.9019
angles: 90.00 90.00 120.00
With the nearest neighbours (Å) after each atom.
Space group P6/mmm (No. 191)
Symmetry-distinct sites (fractional):
Gd 0.0000 0.0000 0.0000 x1  12 B 2.67
B 0.3333 0.6667 0.2746 x4  3 B 1.88
Pt 0.0000 0.0000 0.5000 x1  12 B 2.44

Output
**Total magnetic moment**: 0.01 Bohr magnetons per cell
**Polymorph energy (0 for the lowest one)**: 17.0 meV/atom


Computed, not measured: a relaxed structure of RbGdB4 at the PBE level of DFT.

abc: 3.2448 3.2448 9.1482
angles: 90.00 90.00 120.00
With the nearest neighbours (Å) after each atom.
Space group P6/mmm (No. 191)
Symmetry-distinct sites (fractional):
Rb 0.0000 0.0000 0.0000 x1  12 B 3.24, 6 Rb 3.24
Gd 0.0000 0.0000 0.5000 x1  12 B 2.69
B 0.3333 0.6667 0.2887 x4  3 B 1.87

Output
**Total magnetic moment**: 0.01 Bohr magnetons per cell
**Polymorph energy (0 for the lowest one)**: 0.0 meV/atom


Computed, not measured: a relaxed structure of RbGdB at the PBE level of DFT.

abc: 6.9095 6.9095 6.9095
angles: 90.00 90.00 90.00
With the nearest neighbours (Å) after each atom.
Space group F-43m (No. 216)
Symmetry-distinct sites (fractional):
Rb 0.0000 0.0000 0.0000 x4  4 B 2.99
Gd 0.0000 0.0000 0.5000 x4  4 B 2.99
B 0.2500 0.2500 0.2500 x4  4 Gd 2.99, 4 Rb 2.99

Output
**Total magnetic moment**: 0.14 Bohr magnetons per cell


Computed, not measured: a relaxed structure of RbGdB4 at the PBE level of DFT.

abc: 3.1289 8.0027 8.0087
angles: 90.00 90.00 90.00
With the nearest neighbours (Å) after each atom.
Space group Immm (No. 71)
Symmetry-distinct sites (fractional):
Rb 0.0000 0.0000 0.0000 x2  12 B 2.87-3.20, 2 Rb 3.13
Gd 0.0000 0.5000 0.0000 x2  12 B 2.94-3.14, 2 Gd 3.13
B 0.0000 0.2440 0.2629 x8  2 B 1.58

Output
**Total magnetic moment**: 0.00 Bohr magnetons per cell
**Polymorph energy (0 for the lowest one)**: 57.9 meV/atom


Computed, not measured: a relaxed structure of Gd8Re13B12 at the PBE level of DFT.

abc: 10.6624 10.6624 14.4136
angles: 90.00 90.00 120.00
With the nearest neighbours (Å) after each atom.
Space group R-3m (No. 166, hexagonal axes)
Symmetry-distinct sites (fractional):
Gd 0.0000 0.0000 0.1411 x6  6 B 2.74
Gd 0.9998 0.4999 0.1881 x18  4 B 2.73-2.80
Re 0.0000 0.0000 0.5000 x3  6 Re 2.80, 6 Gd 3.10
Re 0.0219 0.5110 0.4149 x18  4 B 2.20-2.25
Re 0.0835 0.1671 0.3382 x18  2 B 2.23
B 0.0000 0.1724 0.0000 x18  3 B 1.84-1.87
B 0.0000 0.3482 0.0000 x18  1 B 1.87

Output
**Total magnetic moment**: 0.08 Bohr magnetons per cell


Computed, not measured: a relaxed structure of Gd2ReB6 at the PBE level of DFT.

abc: 9.2226 11.6103 3.7117
angles: 90.00 90.00 90.00
With the nearest neighbours (Å) after each atom.
Space group Pbam (No. 55)
Symmetry-distinct sites (fractional):
Gd 0.0573 0.1303 0.0000 x4  12 B 2.62-2.64, 2 Re 2.85-2.87
Gd 0.1763 0.4140 0.0000 x4  14 B 2.77-2.85, 2 Re 3.10
Re 0.1382 0.6791 0.0000 x4  10 B 2.37-2.43
B 0.0166 0.2883 0.5000 x4  3 B 1.79-1.88
B 0.0534 0.5674 0.5000 x4  3 B 1.79-1.85
B 0.1009 0.9718 0.5000 x4  3 B 1.86-1.97
B 0.1311 0.8137 0.5000 x4  3 B 1.74-1.86
B 0.2090 0.2345 0.5000 x4  3 B 1.74-1.88
B 0.2480 0.5820 0.5000 x4  3 B 1.80-1.89

Output
**Total magnetic moment**: 0.01 Bohr magnetons per cell


Computed, not measured: a relaxed structure of Gd2Re3B6 at the PBE level of DFT.

abc: 6.7882 10.4652 7.5153
angles: 90.00 91.04 90.00
With the nearest neighbours (Å) after each atom.
Space group C2/c (No. 15)
Symmetry-distinct sites (fractional):
Gd 0.2298 0.1722 0.1769 x8  9 B 2.69-2.96
Re 0.0000 0.0871 0.7500 x4  8 B 2.24-2.35
Re 0.1016 0.4082 0.4116 x8  6 B 2.12-2.30
B 0.1035 0.0466 0.4648 x8  3 B 1.80-1.82
B 0.1261 0.2139 0.5203 x8  2 B 1.81-1.87
B 0.2003 0.4523 0.1306 x8  1 B 1.82

Output
**Total magnetic moment**: 0.01 Bohr magnetons per cell


Computed, not measured: a relaxed structure of GdB4Sb at the PBE level of DFT.

abc: 3.2071 5.2270 8.7749
angles: 90.00 90.00 90.00
With the nearest neighbours (Å) after each atom.
Space group Immm (No. 71)
Symmetry-distinct sites (fractional):
Gd 0.0000 0.0000 0.0000 x2  12 B 2.77-2.87, 4 Sb 3.07
B 0.0000 0.3211 0.2655 x8  3 B 1.79-1.87
Sb 0.0000 0.0000 0.5000 x2  4 B 2.66

Output
**Total magnetic moment**: 0.00 Bohr magnetons per cell
**Polymorph energy (0 for the lowest one)**: 0.0 meV/atom


Computed, not measured: a relaxed structure of GdB4Sb at the PBE level of DFT.

abc: 3.2398 3.2398 8.0773
angles: 90.00 90.00 120.00
With the nearest neighbours (Å) after each atom.
Space group P6/mmm (No. 191)
Symmetry-distinct sites (fractional):
Gd 0.0000 0.0000 0.0000 x1  12 B 2.71
B 0.3333 0.6667 0.2422 x4  3 B 1.87
Sb 0.0000 0.0000 0.5000 x1  12 B 2.80

Output
**Total magnetic moment**: 0.00 Bohr magnetons per cell
**Polymorph energy (0 for the lowest one)**: 100.0 meV/atom


Computed, not measured: a relaxed structure of GdScB at the PBE level of DFT.

abc: 6.2275 6.2275 6.2275
angles: 90.00 90.00 90.00
With the nearest neighbours (Å) after each atom.
Space group F-43m (No. 216)
Symmetry-distinct sites (fractional):
Gd 0.0000 0.0000 0.0000 x4  4 B 2.70, 4 Sc 2.70
Sc 0.2500 0.2500 0.2500 x4  4 Gd 2.70
B 0.2500 0.2500 0.7500 x4  4 Gd 2.70

Output
**Total magnetic moment**: 2.08 Bohr magnetons per cell
**Polymorph energy (0 for the lowest one)**: 1123.2 meV/atom


Computed, not measured: a relaxed structure of GdScB at the PBE level of DFT.

abc: 6.2215 6.2215 6.2215
angles: 90.00 90.00 90.00
With the nearest neighbours (Å) after each atom.
Space group F-43m (No. 216)
Symmetry-distinct sites (fractional):
Gd 0.0000 0.0000 0.0000 x4  4 B 2.69
Sc 0.0000 0.0000 0.5000 x4  4 B 2.69
B 0.2500 0.2500 0.2500 x4  4 Gd 2.69, 4 Sc 2.69

Output
**Total magnetic moment**: 0.02 Bohr magnetons per cell
**Polymorph energy (0 for the lowest one)**: 0.0 meV/atom


Computed, not measured: a relaxed structure of GdSiB at the PBE level of DFT.

abc: 5.8447 5.8447 5.8447
angles: 90.00 90.00 90.00
With the nearest neighbours (Å) after each atom.
Space group F-43m (No. 216)
Symmetry-distinct sites (fractional):
Gd 0.0000 0.0000 0.0000 x4  4 B 2.53
Si 0.0000 0.0000 0.5000 x4  4 B 2.53
B 0.2500 0.2500 0.2500 x4  4 Gd 2.53, 4 Si 2.53

Output
**Total magnetic moment**: 0.00 Bohr magnetons per cell
**Polymorph energy (0 for the lowest one)**: 0.0 meV/atom


Computed, not measured: a relaxed structure of GdSiB at the PBE level of DFT.

abc: 6.3102 6.3102 6.3102
angles: 90.00 90.00 90.00
With the nearest neighbours (Å) after each atom.
Space group F-43m (No. 216)
Symmetry-distinct sites (fractional):
Gd 0.0000 0.0000 0.0000 x4  4 B 2.73, 4 Si 2.73
Si 0.2500 0.2500 0.2500 x4  4 Gd 2.73
B 0.2500 0.2500 0.7500 x4  4 Gd 2.73

Output
**Total magnetic moment**: 0.00 Bohr magnetons per cell
**Polymorph energy (0 for the lowest one)**: 704.8 meV/atom


Computed, not measured: a relaxed structure of GdYSi2BW2 at the PBE level of DFT.

abc: 11.0974 3.9852 7.0964
angles: 90.00 124.65 90.00
With the nearest neighbours (Å) after each atom.
Space group Cm (No. 8)
Symmetry-distinct sites (fractional):
Gd 0.0000 0.0000 0.0000 x2  2 B 2.70, 2 Si 3.01
Y 0.1525 0.0000 0.6057 x2  2 B 2.68
Si 0.2069 0.5000 0.9644 x2  1 Si 2.47, 3 W 2.57-2.60
Si 0.4453 0.0000 0.6408 x2  1 Si 2.47, 3 W 2.56-2.59
B 0.0770 0.5000 0.3048 x2  2 W 2.12
W 0.2932 0.5000 0.3896 x2  1 B 2.12
W 0.3598 0.0000 0.2163 x2  1 B 2.12

Output
**Total magnetic moment**: 0.01 Bohr magnetons per cell


no.,VASP energy (eV per atom)
1,-5.6041
2,-6.0562
3,-6.2886
4,-5.2177
5,-5.1115
6,-5.1936
7,-6.3886
8,-6.3850
9,-6.5563
10,-6.5890
11,-6.3681
12,-5.2696
13,-2.9423
14,-5.2118
15,-8.8557
16,-7.4464
17,-8.3879
18,-5.9076
19,-5.8076
20,-4.7458
21,-5.8690
22,-5.4747
23,-4.7699
24,-8.2591